(1)
A geometry-optimized La5Nd2Er5 structure, computed with GGA-PBE.

Geometry as POSCAR:
```
La5Nd2Er5
1.0
4.9922 0.0000 1.1263
2.6570 10.5608 -0.1499
0.8156 -1.3509 8.0122
Nd La Er
2 5 5
Cartesian
3.6744 4.1644 6.9674
4.7903 5.0455 2.0211
4.1244 7.1403 4.9728
4.3403 2.0696 4.0157
0.0000 0.0000 0.0000
1.2738 1.6077 5.9808
7.1909 7.6021 3.0077
1.7363 4.6049 3.9311
4.5924 10.1056 2.8986
3.8724 -0.8957 6.0900
6.0692 6.6738 7.9795
2.3955 2.5361 1.0090
```

- symmetry = C2/m
- calculated total energy (eV per atom) = -4.722
- formation enthalpy at 0 K (eV per formula unit) = 0.3



(2)
A geometry-optimized TaRe2WAu structure, computed with GGA-PBE.

Geometry as POSCAR:
```
TaRe2WAu
1.0
-0.6586 4.2724 1.8922
-3.1525 -1.8713 3.1280
3.5079 -0.8103 3.0506
Ta W Re Au
1 1 2 1
Cartesian
-1.5762 -0.9356 1.5640
0.0000 0.0000 0.0000
-0.3293 2.1362 0.9461
1.7539 -0.4051 1.5253
-0.1516 0.7954 4.0354
```

- symmetry = P4/mmm
- calculated total energy (eV per atom) = -8.626
- formation enthalpy at 0 K (eV per formula unit) = 9.8



(3)
A geometry-optimized HfTaP2 structure, computed with GGA-PBE.

Geometry as POSCAR:
```
HfTaP2
1.0
-1.0688 -1.7792 -5.2665
5.3104 -1.9127 -0.4316
0.4568 -6.9295 -0.7940
P Ta Hf
4 2 2
Cartesian
0.0942 -3.1098 -3.6220
3.3154 -3.1239 -1.0486
4.1325 -8.4558 -5.5877
1.8546 -6.5533 -2.7259
0.7544 -5.2773 -4.4548
0.0000 0.0000 0.0000
3.9440 -5.3440 -2.0373
2.1208 -1.8459 -2.8490
```

- excess energy over the best structure of this formula in the dataset (meV per atom) = 706.1
- symmetry = I-42d
- calculated total energy (eV per atom) = -8.394
- formation enthalpy at 0 K (eV per formula unit) = -1.0



Q: Number 2 is which compound?
A: TaRe2WAu



Q: Among the records above, which one has the lowest formation enthalpy at 0 K?
A: HfTaP2



Q: Among the records above, which one has the highest formation enthalpy at 0 K?
A: TaRe2WAu